Computed, not measured: a relaxed structure of K2TcPb at the PBE-GGA level of DFT.

ΔH_f (0 K) (eV/f.u.): 3.59
VASP energy (eV/atom): -3.171
Fermi-level density of states (states/eV per cell): 5.68

a = 5.5731 Å, b = 5.5731 Å, c = 5.5731 Å
α = 120.02°, β = 120.02°, γ = 89.97°
Last column: magnetic moment on the atom in μB.
Fractional coordinates of all 4 atoms:
K (0.0000, 0.0000, 0.0000)  0.03
K (0.2500, 0.7500, 0.5000)  0.01
Pb (0.5000, 0.5000, 0.0000)  -0.04
Tc (0.7500, 0.2500, 0.5000)  3.10